(1)
# TaAs2RuAu

A relaxed structure of TaAs2RuAu (GGA-PBE, Alexandria).

abc: 4.586 5.162 4.586
angles: 90.00 90.00 90.00
Fractional coordinates of all 5 atoms:
1 Ru 0.000 0.000 0.000
2 As 0.000 0.000 0.500
3 As 0.500 0.000 0.000
4 Au 0.000 0.500 0.000
5 Ta 0.500 0.500 0.500

calculated formation energy = 1.035 eV per atom
space group = P4/mmm
DOS(E_F) = 3.51 states/eV/f.u.



(2)
# ErCrP

A relaxed structure of ErCrP (GGA-PBE, Alexandria).

abc: 3.771 3.771 9.707
angles: 78.80 78.80 60.00
Fractional coordinates of all 6 atoms:
1 P 0.222 0.222 0.335
2 P 0.778 0.778 0.665
3 Er 0.386 0.386 0.843
4 Er 0.614 0.614 0.157
5 Cr 0.861 0.861 0.418
6 Cr 0.139 0.139 0.582

calculated formation energy = -0.597 eV per atom
space group = R-3m
DOS(E_F) = 3.11 states/eV/f.u.



(3)
# CuWSe2

A relaxed structure of CuWSe2 (GGA-PBE, Alexandria).

abc: 4.545 4.545 4.545
angles: 60.00 60.00 60.00
Fractional coordinates of all 4 atoms:
1 Cu 0.500 0.500 0.500
2 Se 0.000 0.000 0.000
3 Se 0.250 0.250 0.250
4 W 0.750 0.750 0.750

formation energy from raw total energies = 0.93 eV/atom
space group = F-43m
DOS(E_F) = 2.51 states/eV/f.u.



(4)
# PmYMgGe

A relaxed structure of PmYMgGe (GGA-PBE, Alexandria).

abc: 5.199 5.199 5.199
angles: 60.00 60.00 60.00
Fractional coordinates of all 4 atoms:
1 Y 0.500 0.500 0.500
2 Ge 0.250 0.250 0.250
3 Mg 0.750 0.750 0.750
4 Pm 0.000 0.000 0.000

calculated formation energy = -0.377 eV per atom
space group = F-43m
DOS(E_F) = 3.43 states/eV/f.u.



(5)
# Tb2CeErTe5

A relaxed structure of Tb2CeErTe5 (GGA-PBE, Alexandria).

abc: 5.506 5.506 11.847
angles: 90.00 90.00 90.00
Fractional coordinates of all 9 atoms:
1 Tb 0.500 0.500 0.352
2 Tb 0.500 0.500 0.648
3 Ce 0.000 0.000 0.000
4 Er 0.000 0.000 0.500
5 Te 0.000 0.500 0.500
6 Te 0.500 0.000 0.500
7 Te 0.000 0.000 0.747
8 Te 0.000 0.000 0.253
9 Te 0.500 0.500 0.000

formation energy from raw total energies = -0.71 eV/atom
space group = P4/mmm
DOS(E_F) = 11.05 states/eV/f.u.



(6)
# Cd4InAg5

A relaxed structure of Cd4InAg5 (GGA-PBE, Alexandria).

abc: 3.074 3.074 20.824
angles: 90.00 90.00 90.00
Fractional coordinates of all 10 atoms:
1 Cd 0.000 0.000 0.202
2 Cd 0.000 0.000 0.401
3 Cd 0.000 0.000 0.599
4 Cd 0.000 0.000 0.798
5 In 0.000 0.000 0.000
6 Ag 0.500 0.500 0.102
7 Ag 0.500 0.500 0.301
8 Ag 0.500 0.500 0.500
9 Ag 0.500 0.500 0.699
10 Ag 0.500 0.500 0.898

calculated formation energy = -0.025 eV per atom
space group = P4/mmm
DOS(E_F) = 3.13 states/eV/f.u.



(7)
# Cs2BeAuBr6

A relaxed structure of Cs2BeAuBr6 (GGA-PBE, Alexandria).

abc: 7.669 7.669 7.919
angles: 61.04 61.04 90.00
Fractional coordinates of all 10 atoms:
1 Cs 0.750 0.250 0.500
2 Cs 0.250 0.750 0.500
3 Be 0.500 0.500 0.000
4 Au 0.000 0.000 0.000
5 Br 0.214 0.214 0.572
6 Br 0.786 0.786 0.428
7 Br 0.287 0.287 0.000
8 Br 0.713 0.713 0.000
9 Br 0.713 0.287 0.000
10 Br 0.287 0.713 0.000

formation energy from raw total energies = -0.94 eV/atom
space group = I4/mmm
DOS(E_F) = 8.37 states/eV/f.u.



(8)
# KCuSnCl4

A relaxed structure of KCuSnCl4 (GGA-PBE, Alexandria).

abc: 6.442 7.368 8.657
angles: 90.00 108.14 90.00
Fractional coordinates of all 14 atoms:
1 K 0.745 0.750 0.937
2 K 0.255 0.250 0.063
3 Cu 0.195 0.750 0.321
4 Cu 0.805 0.250 0.679
5 Sn 0.792 0.750 0.447
6 Sn 0.208 0.250 0.553
7 Cl 0.014 0.508 0.738
8 Cl 0.986 0.008 0.262
9 Cl 0.986 0.492 0.262
10 Cl 0.014 0.992 0.738
11 Cl 0.446 0.750 0.163
12 Cl 0.554 0.250 0.837
13 Cl 0.452 0.750 0.580
14 Cl 0.548 0.250 0.420

formation energy from raw total energies = -1.10 eV/atom
space group = P2_1/m
DOS(E_F) = 0.00 states/eV/f.u.



(9)
# Cs3HgI5

A relaxed structure of Cs3HgI5 (GGA-PBE, Alexandria).

abc: 10.465 10.465 11.348
angles: 117.46 117.46 90.00
Fractional coordinates of all 18 atoms:
1 Cs 0.656 0.156 0.000
2 Cs 0.344 0.844 0.000
3 Cs 0.844 0.656 0.000
4 Cs 0.156 0.344 0.000
5 Cs 0.250 0.250 0.500
6 Cs 0.750 0.750 0.500
7 Hg 0.750 0.250 0.500
8 Hg 0.250 0.750 0.500
9 I 0.003 0.503 0.703
10 I 0.700 0.200 0.703
11 I 0.200 0.003 0.703
12 I 0.503 0.700 0.703
13 I 0.997 0.497 0.297
14 I 0.300 0.800 0.297
15 I 0.800 0.997 0.297
16 I 0.497 0.300 0.297
17 I 0.500 0.500 0.000
18 I 0.000 0.000 0.000

formation energy from raw total energies = -1.15 eV/atom
space group = I4/mcm
DOS(E_F) = 0.00 states/eV/f.u.



(10)
# LiTmTlNi

A relaxed structure of LiTmTlNi (GGA-PBE, Alexandria).

abc: 4.675 4.675 4.675
angles: 60.00 60.00 60.00
Fractional coordinates of all 4 atoms:
1 Ni 0.500 0.500 0.500
2 Tl 0.750 0.750 0.750
3 Tm 0.250 0.250 0.250
4 Li 0.000 0.000 0.000

calculated formation energy = -0.254 eV per atom
space group = F-43m
DOS(E_F) = 4.90 states/eV/f.u.



(11)
# Dy3Cu2Ir

A relaxed structure of Dy3Cu2Ir (GGA-PBE, Alexandria).

abc: 4.192 11.188 11.501
angles: 90.00 90.00 90.00
Fractional coordinates of all 24 atoms:
1 Dy 0.250 0.374 0.049
2 Dy 0.750 0.626 0.951
3 Dy 0.750 0.874 0.451
4 Dy 0.250 0.126 0.549
5 Dy 0.250 0.705 0.228
6 Dy 0.750 0.295 0.772
7 Dy 0.750 0.205 0.272
8 Dy 0.250 0.795 0.728
9 Dy 0.250 0.445 0.383
10 Dy 0.750 0.555 0.617
11 Dy 0.750 0.945 0.117
12 Dy 0.250 0.055 0.883
13 Cu 0.250 0.695 0.493
14 Cu 0.750 0.305 0.507
15 Cu 0.750 0.195 0.007
16 Cu 0.250 0.805 0.993
17 Cu 0.250 0.995 0.308
18 Cu 0.750 0.005 0.692
19 Cu 0.750 0.495 0.192
20 Cu 0.250 0.505 0.808
21 Ir 0.250 0.128 0.124
22 Ir 0.750 0.872 0.876
23 Ir 0.750 0.628 0.376
24 Ir 0.250 0.372 0.624

calculated formation energy = -0.426 eV per atom
space group = Pnma
DOS(E_F) = 4.80 states/eV/f.u.



(12)
# TaCd2In

A relaxed structure of TaCd2In (GGA-PBE, Alexandria).

abc: 10.278 10.278 10.278
angles: 17.44 17.44 17.44
Fractional coordinates of all 4 atoms:
1 Cd 0.998 0.998 0.998
2 Cd 0.502 0.502 0.502
3 In 0.750 0.750 0.750
4 Ta 0.250 0.250 0.250

calculated formation energy = 0.269 eV per atom
space group = R-3m
DOS(E_F) = 3.80 states/eV/f.u.



Question: What is the formula in the fourth record?
Answer: PmYMgGe



Question: What is the DOS(E_F) in the eighth record?
Answer: 0.00 states/eV/f.u.